[1]
DFT (PBE) results for a relaxed structure of LaSm6Y2Ho3.

Structure (POSCAR):
```
LaSm6Y2Ho3
1.0
6.2455 -0.0005 0.0157
-3.1216 5.4094 0.0157
-1.0698 -1.8524 11.7382
Ho Sm Y La
3 6 2 1
Direct
0.1672 0.8328 0.5000 Ho
0.5000 0.5000 0.5000 Ho
0.8328 0.1672 0.5000 Ho
0.9154 0.5814 0.7463 Sm
0.2492 0.2492 0.7461 Sm
0.4186 0.0846 0.2537 Sm
0.0846 0.4186 0.2537 Sm
0.5814 0.9154 0.7463 Sm
0.7508 0.7508 0.2539 Sm
0.3335 0.6665 0.0000 Y
0.6665 0.3335 0.0000 Y
0.0000 0.0000 0.0000 La
```



[2]
DFT (PBE) results for a relaxed structure of LaSmY5Ho2.

Structure (POSCAR):
```
LaSmY5Ho2
1.0
8.8742 0.0000 0.0000
0.0000 8.8742 0.0000
-4.4371 -4.4371 7.6007
Ho Y Sm La
4 10 2 2
Direct
0.1148 0.3852 0.0000 Ho
0.3852 0.8852 0.0000 Ho
0.6148 0.1148 0.0000 Ho
0.8852 0.6148 0.0000 Ho
0.0713 0.5713 0.7370 Y
0.1657 0.0713 0.7370 Y
0.0000 0.0000 0.0000 Y
0.9287 0.4287 0.2630 Y
0.6657 0.1657 0.7370 Y
0.5000 0.5000 0.0000 Y
0.4287 0.3343 0.2630 Y
0.3343 0.8343 0.2630 Y
0.8343 0.9287 0.2630 Y
0.5713 0.6657 0.7370 Y
0.2500 0.7500 0.5000 Sm
0.7500 0.2500 0.5000 Sm
0.7500 0.7500 0.5000 La
0.2500 0.2500 0.5000 La
```



[3]
DFT (PBE) results for a relaxed structure of LaSm2YHo5.

Structure (POSCAR):
```
LaSm2YHo5
1.0
8.7929 0.0000 0.0000
0.0000 8.7929 0.0000
-4.3965 -4.3965 7.6631
Sm Ho La Y
4 10 2 2
Direct
0.6157 0.1157 0.0000 Sm
0.1157 0.3843 0.0000 Sm
0.8843 0.6157 0.0000 Sm
0.3843 0.8843 0.0000 Sm
0.3431 0.8431 0.2693 Ho
0.5738 0.6569 0.7307 Ho
0.1569 0.0738 0.7307 Ho
0.4262 0.3431 0.2693 Ho
0.6569 0.1569 0.7307 Ho
0.0738 0.5738 0.7307 Ho
0.0000 0.0000 0.0000 Ho
0.5000 0.5000 0.0000 Ho
0.9262 0.4262 0.2693 Ho
0.8431 0.9262 0.2693 Ho
0.7500 0.7500 0.5000 La
0.2500 0.2500 0.5000 La
0.2500 0.7500 0.5000 Y
0.7500 0.2500 0.5000 Y
```



[4]
DFT (PBE) results for a relaxed structure of LaSm2Y6Ho.

Structure (POSCAR):
```
LaSm2Y6Ho
1.0
-1.0080 7.5537 -6.0239
-7.8018 1.3057 3.9556
7.1980 3.2965 3.9422
La Ho Y Sm
2 2 12 4
Direct
0.2500 0.9769 0.0231 La
0.7500 0.0231 0.9769 La
0.2500 0.4086 0.5914 Ho
0.7500 0.5914 0.4086 Ho
0.0578 0.1228 0.7443 Y
0.8837 0.2958 0.5095 Y
0.5578 0.7443 0.1228 Y
0.6832 0.0165 0.5659 Y
0.6163 0.4905 0.7042 Y
0.8168 0.4341 0.9835 Y
0.4422 0.2557 0.8772 Y
0.3168 0.9835 0.4341 Y
0.1832 0.5659 0.0165 Y
0.3837 0.5095 0.2958 Y
0.9422 0.8772 0.2557 Y
0.1163 0.7042 0.4905 Y
0.4523 0.8042 0.7019 Sm
0.0477 0.2981 0.1958 Sm
0.9523 0.7019 0.8042 Sm
0.5477 0.1958 0.2981 Sm
```



[5]
DFT (PBE) results for a relaxed structure of La3Sm2YHo6.

Structure (POSCAR):
```
La3Sm2YHo6
1.0
-5.2172 -1.6680 -3.0104
5.4718 0.0437 -3.0202
1.6979 -10.5744 5.0753
Sm Ho La Y
2 6 3 1
Direct
0.3335 0.6665 0.0000 Sm
0.6665 0.3335 0.0000 Sm
0.7483 0.7483 0.2463 Ho
0.9180 0.5844 0.7537 Ho
0.5844 0.9180 0.7537 Ho
0.0820 0.4156 0.2463 Ho
0.4156 0.0820 0.2463 Ho
0.2517 0.2517 0.7537 Ho
0.1668 0.8332 0.5000 La
0.8332 0.1668 0.5000 La
0.5000 0.5000 0.5000 La
0.0000 0.0000 0.0000 Y
```



[6]
DFT (PBE) results for a relaxed structure of La4Sm2Y2Ho.

Structure (POSCAR):
```
La4Sm2Y2Ho
1.0
3.6571 0.0000 0.0000
-1.8285 9.3459 1.6902
0.0000 -1.5877 8.8320
Ho La Y Sm
1 4 2 2
Direct
0.0000 0.0000 0.0000 Ho
0.5547 0.1094 0.3271 La
0.4453 0.8906 0.6729 La
0.7770 0.5539 0.6714 La
0.2230 0.4461 0.3286 La
0.6655 0.3309 0.9979 Y
0.3345 0.6691 0.0021 Y
0.8891 0.7782 0.3301 Sm
0.1109 0.2218 0.6699 Sm
```



[7]
DFT (PBE) results for a relaxed structure of La2SmY2Ho2.

Structure (POSCAR):
```
La2SmY2Ho2
1.0
-1.9881 2.3176 -4.1062
-4.2313 -2.8553 3.6255
0.1602 7.1002 3.9298
Sm La Ho Y
1 2 2 2
Direct
0.0000 0.0000 0.0000 Sm
0.1410 0.2821 0.4263 La
0.8590 0.7179 0.5737 La
0.4295 0.8590 0.2827 Ho
0.5705 0.1410 0.7173 Ho
0.7155 0.4310 0.1391 Y
0.2845 0.5690 0.8609 Y
```



[8]
DFT (PBE) results for a relaxed structure of La2Sm6Y3Ho.

Structure (POSCAR):
```
La2Sm6Y3Ho
1.0
6.2863 -0.0015 0.0028
-3.1429 5.4442 0.0028
-1.0550 -1.8267 11.8313
Y Sm La Ho
3 6 2 1
Direct
0.1662 0.8338 0.5000 Y
0.5000 0.5000 0.5000 Y
0.8338 0.1662 0.5000 Y
0.7528 0.7528 0.2537 Sm
0.2472 0.2472 0.7463 Sm
0.4166 0.0847 0.2534 Sm
0.9153 0.5834 0.7466 Sm
0.5834 0.9153 0.7466 Sm
0.0847 0.4166 0.2534 Sm
0.3334 0.6666 0.0000 La
0.6666 0.3334 0.0000 La
0.0000 0.0000 0.0000 Ho
```



[9]
DFT (PBE) results for a relaxed structure of LaSmY2Ho2.

Structure (POSCAR):
```
LaSmY2Ho2
1.0
-1.5655 -2.1774 -2.1058
5.1438 0.2557 -4.0884
7.5947 -13.8634 8.6884
Y Sm Ho La
4 2 4 2
Direct
0.0000 0.7814 0.1881 Y
0.5000 0.2814 0.3119 Y
0.0000 0.2186 0.8119 Y
0.5000 0.7186 0.6881 Y
0.5000 0.5000 0.0000 Sm
0.0000 0.0000 0.5000 Sm
0.0000 0.7167 0.8522 Ho
0.5000 0.7833 0.3522 Ho
0.5000 0.2167 0.6478 Ho
0.0000 0.2833 0.1478 Ho
0.0000 0.0000 0.0000 La
0.5000 0.5000 0.5000 La
```



[10]
DFT (PBE) results for a relaxed structure of LaSm5Y2Ho.

Structure (POSCAR):
```
LaSm5Y2Ho
1.0
-4.7945 2.5492 -1.7832
-2.9839 -9.1403 4.1155
-1.0761 4.6421 9.5297
Ho Sm La Y
2 10 2 4
Direct
0.2013 0.4025 0.0106 Ho
0.7987 0.5975 0.5106 Ho
0.9816 0.9632 0.5242 Sm
0.7182 0.4364 0.8132 Sm
0.2965 0.5931 0.7061 Sm
0.5196 0.0392 0.2404 Sm
0.0184 0.0368 0.0242 Sm
0.6132 0.2265 0.5232 Sm
0.3868 0.7735 0.0232 Sm
0.2818 0.5636 0.3132 Sm
0.7035 0.4069 0.2061 Sm
0.4804 0.9608 0.7404 Sm
0.5832 0.1665 0.9535 La
0.4168 0.8335 0.4535 La
0.1153 0.2306 0.3204 Y
0.8875 0.7749 0.2323 Y
0.8847 0.7694 0.8204 Y
0.1125 0.2251 0.7323 Y
```



[11]
DFT (PBE) results for a relaxed structure of La3Sm6YHo2.

Structure (POSCAR):
```
La3Sm6YHo2
1.0
6.3049 -0.0033 0.0043
-3.1538 5.4594 0.0043
-1.0637 -1.8418 11.8737
Ho La Sm Y
2 3 6 1
Direct
0.3334 0.6666 0.0000 Ho
0.6666 0.3334 0.0000 Ho
0.1668 0.8332 0.5000 La
0.5000 0.5000 0.5000 La
0.8332 0.1668 0.5000 La
0.0813 0.4156 0.2440 Sm
0.2530 0.2530 0.7560 Sm
0.9187 0.5844 0.7560 Sm
0.5844 0.9187 0.7560 Sm
0.4156 0.0813 0.2440 Sm
0.7470 0.7470 0.2440 Sm
0.0000 0.0000 0.0000 Y
```



[12]
DFT (PBE) results for a relaxed structure of LaSm3Y2Ho6.

Structure (POSCAR):
```
LaSm3Y2Ho6
1.0
6.1981 0.0003 0.0174
-3.0973 5.3687 0.0174
-1.0625 -1.8397 11.6458
Y La Ho Sm
2 1 6 3
Direct
0.3333 0.6667 0.0000 Y
0.6667 0.3333 0.0000 Y
0.0000 0.0000 0.0000 La
0.5815 0.9155 0.7490 Ho
0.9155 0.5815 0.7490 Ho
0.4185 0.0845 0.2510 Ho
0.7503 0.7503 0.2511 Ho
0.0845 0.4185 0.2510 Ho
0.2497 0.2497 0.7489 Ho
0.8330 0.1670 0.5000 Sm
0.5000 0.5000 0.5000 Sm
0.1670 0.8330 0.5000 Sm
```



Table of energy of formation from the pure elements (meV per atom), in record order: 19 265 264 115 19 25 30 19 267 150 21 20
Table of VASP energy (eV/atom), in record order: -4.97 -5.41 -4.59 -5.66 -4.83 -5.16 -5.21 -5.16 -5.02 -4.96 -4.87 -4.94